Record 1
Entry from Alexandria: an optimized crystal structure of Al2FePd2 (GGA-PBE).

Properties
- electronic total energy (eV per formula unit) = -28.64
- D(E_F) (states/eV per atom) = 0.754
- total magnetization (μB per formula unit) = 2.72
- volume (Å³ per cell) = 148

Unit cell a=7.151 b=7.151 c=2.892 alpha=90.00 beta=90.00 gamma=90.00
Space group P4/mbm (No. 127)
Asymmetric unit:
Al 0.146 0.354 0.000
Fe 0.000 0.000 0.000
Pd 0.153 0.653 0.500

---

Record 2
Entry from Alexandria: an optimized crystal structure of YSc2Au (GGA-PBE).

Properties
- electronic total energy (eV per formula unit) = -23.90
- D(E_F) (states/eV per atom) = 1.138
- total magnetization (μB per formula unit) = 0.00
- volume (Å³ per cell) = 190

Unit cell a=3.635 b=4.965 c=10.543 alpha=90.00 beta=90.00 gamma=90.00
Space group Imm2 (No. 44)
Asymmetric unit:
Y 0.000 0.000 0.000
Sc 0.000 0.000 0.431
Sc 0.000 0.500 0.217
Au 0.000 0.500 0.729

---

Record 3
Entry from Alexandria: an optimized crystal structure of K2LiCoSb (GGA-PBE).

Properties
- electronic total energy (eV per formula unit) = -11.98
- D(E_F) (states/eV per atom) = 0.886
- total magnetization (μB per formula unit) = 1.85
- uncorrected formation energy (meV per atom) = 671
- volume (Å³ per cell) = 164

Unit cell a=6.142 b=6.142 c=4.355 alpha=90.00 beta=90.00 gamma=90.00
Space group P4/mmm (No. 123)
Asymmetric unit:
K 0.000 0.500 0.000
Li 0.000 0.000 0.000
Co 0.000 0.000 0.500
Sb 0.500 0.500 0.500

---

Record 4
Entry from Alexandria: an optimized crystal structure of CaFe4P2 (GGA-PBE).

Properties
- electronic total energy (eV per formula unit) = -50.00
- D(E_F) (states/eV per atom) = 0.729
- total magnetization (μB per formula unit) = 2.49
- volume (Å³ per cell) = 183

Unit cell a=3.766 b=13.059 c=3.730 alpha=90.00 beta=90.00 gamma=90.00
Space group Cmmm (No. 65)
Asymmetric unit:
Ca 0.000 0.000 0.000
Fe 0.000 0.189 0.500
Fe 0.000 0.308 0.000
P 0.000 0.401 0.500

---

Record 5
Entry from Alexandria: an optimized crystal structure of Er2Sb4Au (GGA-PBE).

Properties
- electronic total energy (eV per formula unit) = -33.48
- D(E_F) (states/eV per atom) = 0.404
- total magnetization (μB per formula unit) = 0.00
- uncorrected formation energy (meV per atom) = -656
- volume (Å³ per cell) = 184

Unit cell a=4.402 b=4.402 c=9.521 alpha=90.00 beta=90.00 gamma=90.00
Space group P-4m2 (No. 115)
Asymmetric unit:
Er 0.000 0.500 0.244
Sb 0.000 0.000 0.500
Sb 0.000 0.500 0.830
Sb 0.500 0.500 0.500
Au 0.500 0.500 0.000

---

Record 6
Entry from Alexandria: an optimized crystal structure of U2AsC (GGA-PBE).

Properties
- electronic total energy (eV per formula unit) = -37.90
- D(E_F) (states/eV per atom) = 2.214
- total magnetization (μB per formula unit) = 3.20
- volume (Å³ per cell) = 230

Unit cell a=3.7326 b=3.7326 c=19.0956 alpha=90.00 beta=90.00 gamma=120.00
Space group R-3m (No. 166, hexagonal axes)
Asymmetric unit:
U 0.0000 0.0000 0.2335
As 0.0000 0.0000 0.0000
C 0.0000 0.0000 0.5000